Computed, not measured: an optimized crystal structure of PuFeCoO6 at the GGA+U level of DFT.

a b c (Å): 5.118 5.118 9.048
angles (deg): 90.00 90.00 120.00
Last column: magnetic moment on the atom in μB.
Element x y z (fractional)
Pu 0.667 0.333 0.250  -1.29
Pu 0.333 0.667 0.750  -1.29
Fe 0.333 0.667 0.250  1.20
Fe 0.667 0.333 0.750  1.20
Co 0.000 0.000 0.000  2.73
Co 0.000 0.000 0.500  2.73
O 0.653 0.662 0.132  0.06
O 0.009 0.347 0.132  0.06
O 0.347 0.009 0.632  0.06
O 0.991 0.653 0.868  0.06
O 0.338 0.347 0.368  0.06
O 0.009 0.662 0.368  0.06
O 0.662 0.009 0.868  0.06
O 0.653 0.991 0.368  0.06
O 0.991 0.338 0.632  0.06
O 0.338 0.991 0.132  0.06
O 0.662 0.653 0.632  0.06
O 0.347 0.338 0.868  0.06

Properties
Total energy: -7.634 eV/atom